Cu2PdO6: relaxed, PBE.

Cell: 5.459 6.396 6.396 Å, 90.51 92.52 92.52°
Sites, in units of the cell vectors:
Cu: 0.476 0.374 0.176
Cu: 0.024 0.824 0.626
Cu: 0.524 0.626 0.824
Cu: 0.976 0.176 0.374
Pd: 0.250 0.915 0.085
Pd: 0.750 0.085 0.915
O: 0.483 0.401 0.467
O: 0.017 0.533 0.599
O: 0.517 0.599 0.533
O: 0.983 0.467 0.401
O: 0.964 0.106 0.658
O: 0.536 0.342 0.894
O: 0.036 0.894 0.342
O: 0.464 0.658 0.106
O: 0.058 0.195 0.086
O: 0.442 0.914 0.805
O: 0.942 0.805 0.914
O: 0.558 0.086 0.195

Output
size of the total moment	0.85	μB/f.u.
formation energy (no corrections)	-0.232	eV per atom

---

YTc2P2: relaxed, PBE.

Cell: 4.370 4.370 5.447 Å, 66.35 66.35 90.00°
Sites, in units of the cell vectors:
Y: 0.000 0.000 0.000
P: 0.750 0.250 0.500
P: 0.250 0.750 0.500
Tc: 0.369 0.369 0.261
Tc: 0.631 0.631 0.739

Output
size of the total moment	0.00	μB/f.u.
ΔE to the lowest computed polymorph	307	meV/atom

---

K2UZn2Se4: relaxed, PBE.

Cell: 4.181 8.078 7.981 Å, 107.21 105.18 90.00°
Sites, in units of the cell vectors:
K: 0.129 0.554 0.259
K: 0.871 0.446 0.741
U: 0.000 0.000 0.000
Zn: 0.668 0.985 0.335
Zn: 0.332 0.015 0.665
Se: 0.207 0.174 0.414
Se: 0.793 0.826 0.586
Se: 0.517 0.751 0.033
Se: 0.483 0.249 0.967

Output
size of the total moment	3.65	μB/f.u.
formation energy (no corrections)	-0.854	eV per atom

---

Q: Which of these has the highest size of the total moment?
A: K2UZn2Se4

---

Q: What is the formula in the second record?
A: YTc2P2

---

Q: Look up the size of the total moment of the first one.
A: 0.85 μB/f.u.